Entry from Alexandria: Rb2BaHBr6 after structural relaxation (PBE).

## Properties
As for the uncorrected energy: -2.791 eV per atom. As for the space group: I4/mmm, No. 139. The density of states at the Fermi level is 7.66 states/eV per cell. As for the total magnetization: 0.00 μB per formula unit.

a b c (Å): 8.7773 8.7773 8.7773
angles (deg): 128.89 128.89 75.18
Closest atoms and distances in Å follow each position.
Element x y z (fractional)
Rb: 0.2500 0.7500 0.5000  4 Br 3.80
Rb: 0.7500 0.2500 0.5000  4 Br 3.80
Ba: 0.0000 0.0000 0.0000  6 Br 3.15-3.18
H: 0.5000 0.5000 0.0000  4 Br 2.20
Br: 0.2284 0.2284 0.0000  1 Ba 3.18
Br: 0.2944 0.2944 0.5888  1 H 2.20
Br: 0.2944 0.7056 0.0000  1 H 2.20
Br: 0.7056 0.2944 0.0000  1 H 2.20
Br: 0.7056 0.7056 0.4112  1 H 2.20
Br: 0.7716 0.7716 0.0000  1 Ba 3.18